The following is a PBE+U calculation of crystalline NiAgO2F at its relaxed geometry, from Alexandria.

a = 4.077 Å, b = 4.077 Å, c = 4.082 Å
α = 90.00°, β = 90.00°, γ = 90.00°
Site moments in Bohr magnetons follow the coordinates.
Atoms (fractional coordinates):
Ag (0.000, 0.000, 0.000)  0.04
F (0.000, 0.000, 0.500)  0.01
Ni (0.500, 0.500, 0.500)  1.74
O (0.000, 0.500, 0.000)  0.13
O (0.500, 0.000, 0.000)  0.13

## Properties
Space group: P4/mmm, No. 123
Uncorrected energy (eV/cell): -16.210